## NaMg2InH (PBE-GGA)

Data for a geometry-optimized NaMg2InH structure.

```
NaMg2InH
1.0
-4.064 -0.168 -2.090
1.481 -3.457 -2.602
-1.478 -2.976 3.112
H Na Mg In
1 1 2 1
Cartesian
0.000 0.000 0.000
-0.739 -1.488 1.556
-2.032 -0.084 -1.045
0.740 -1.729 -1.301
-2.031 -3.300 -0.790
```

Values from the calculation:
The calculation puts the energy at -2.138 eV per atom.